An optimized crystal structure of Tb2DyNi9, computed with GGA-PBE.

Geometry as CIF:
```
data_Tb2DyNi9
_chemical_formula_sum 'Tb2 Dy1 Ni9'
_cell_length_a 8.5903
_cell_length_b 8.5903
_cell_length_c 8.5903
_cell_angle_alpha 33.41
_cell_angle_beta 33.41
_cell_angle_gamma 33.41
_space_group_name_H-M_alt 'P 1'
_space_group_IT_number 1
loop_
_space_group_symop_operation_xyz
'x,y,z'
loop_
_atom_site_label
_atom_site_fract_x
_atom_site_fract_y
_atom_site_fract_z
_atom_site_occupancy
Tb1 0.8610 0.8610 0.8610 1
Tb2 0.1390 0.1390 0.1390 1
Ni1 0.4175 0.9191 0.4175 1
Ni2 0.6670 0.6670 0.6670 1
Ni3 0.3330 0.3330 0.3330 1
Ni4 0.5825 0.0809 0.5825 1
Ni5 0.9191 0.4175 0.4175 1
Ni6 0.0809 0.5825 0.5825 1
Ni7 0.4175 0.4175 0.9191 1
Ni8 0.5825 0.5825 0.0809 1
Ni9 0.5000 0.5000 0.5000 1
Dy1 0.0000 0.0000 0.0000 1
```

Properties
Total energy, eV per atom: -5.738
Crystal system: trigonal


An optimized crystal structure of HfMgCoSn, computed with GGA-PBE.

Geometry as CIF:
```
data_HfMgCoSn
_chemical_formula_sum 'Hf1 Mg1 Co1 Sn1'
_cell_length_a 4.6043
_cell_length_b 4.6043
_cell_length_c 4.6043
_cell_angle_alpha 60.00
_cell_angle_beta 60.00
_cell_angle_gamma 60.00
_space_group_name_H-M_alt 'P 1'
_space_group_IT_number 1
loop_
_space_group_symop_operation_xyz
'x,y,z'
loop_
_atom_site_label
_atom_site_fract_x
_atom_site_fract_y
_atom_site_fract_z
_atom_site_occupancy
Sn1 0.0000 0.0000 0.0000 1
Hf1 0.5000 0.5000 0.5000 1
Co1 0.7500 0.7500 0.7500 1
Mg1 0.2500 0.2500 0.2500 1
```

Properties
Total energy, eV per atom: -5.686
Crystal system: cubic


Repeat the second record exactly.
An optimized crystal structure of HfMgCoSn, computed with GGA-PBE.

Geometry as CIF:
```
data_HfMgCoSn
_chemical_formula_sum 'Hf1 Mg1 Co1 Sn1'
_cell_length_a 4.6043
_cell_length_b 4.6043
_cell_length_c 4.6043
_cell_angle_alpha 60.00
_cell_angle_beta 60.00
_cell_angle_gamma 60.00
_space_group_name_H-M_alt 'P 1'
_space_group_IT_number 1
loop_
_space_group_symop_operation_xyz
'x,y,z'
loop_
_atom_site_label
_atom_site_fract_x
_atom_site_fract_y
_atom_site_fract_z
_atom_site_occupancy
Sn1 0.0000 0.0000 0.0000 1
Hf1 0.5000 0.5000 0.5000 1
Co1 0.7500 0.7500 0.7500 1
Mg1 0.2500 0.2500 0.2500 1
```

Properties
Total energy, eV per atom: -5.686
Crystal system: cubic